Compound: Al2InAs2
Source: the Alexandria database
Functional: SCAN
Structure: PBEsol geometry

Values from the calculation:
- Total magnetization: 0.00 μB/f.u.
- Density: 4.95 g/cm3
- Crystal system: tetragonal
- E_tot: -17.854 eV/atom
- Symmetry: No. 139

The structure in CIF format:
```
data_Al2InAs2
_cell_length_a 4.748
_cell_length_b 4.748
_cell_length_c 5.806
_cell_angle_alpha 114.13
_cell_angle_beta 114.13
_cell_angle_gamma 90.00
_symmetry_space_group_name_H-M 'P 1'
_symmetry_Int_Tables_number 1
_symmetry_space_group_name_Hall 'P 1'
loop_
_atom_site_label
_atom_site_fract_x
_atom_site_fract_y
_atom_site_fract_z
_atom_site_occupancy
As1 0.250 0.750 0.500 1
As2 0.750 0.250 0.500 1
Al1 0.363 0.363 0.725 1
Al2 0.637 0.637 0.275 1
In1 0.000 0.000 0.000 1
```